11
Lattice="4.4583 -6.6471 0.0000 4.4583 6.6471 0.0000 -1.3269 0.0000 5.5199" Properties=species:S:1:pos:R:3 comment="Pm8HgOs2 PBE-GGA optimized geometry" total_magnetization_mub_per_atom=0.000 dos_at_fermi_per_ev_cell=13.03 dft_energy_ry_per_atom=-0.413 spacegroup=Cm vol_a3_per_fu=327 pbc="T T T"
Pm 0.0000 0.0000 0.0000
Pm 0.8419 1.7432 3.4489
Pm 3.1509 3.2894 1.1312
Pm 0.8419 -1.7432 3.4489
Pm 4.1280 1.7466 4.3371
Pm 3.1509 -3.2894 1.1312
Pm 4.1280 -1.7466 4.3371
Pm 6.2701 0.0000 2.2510
Hg 3.1313 0.0000 1.1317
Os 2.4824 4.1389 3.8866
Os 2.4824 -4.1389 3.8866

---

12
Lattice="4.3737 -6.5664 0.0000 4.3737 6.5664 0.0000 -1.7424 0.0000 6.1142" Properties=species:S:1:pos:R:3 comment="Pm4HgOs PBE-GGA optimized geometry" total_magnetization_mub_per_atom=0.000 dos_at_fermi_per_ev_cell=13.80 dft_energy_ry_per_atom=-0.393 spacegroup=C2/c vol_a3_per_fu=176 pbc="T T T"
Pm 1.7623 4.3354 5.8577
Pm 1.4531 1.0316 3.6341
Pm 4.3715 4.3354 3.3137
Pm 2.3243 -1.0316 0.5770
Pm 4.6808 1.0316 5.5373
Pm 2.6336 -4.3354 2.8006
Pm 5.5520 -1.0316 2.4802
Pm 5.2427 -4.3354 0.2565
Hg 3.9381 1.6444 1.5286
Hg 3.0669 -1.6444 4.5857
Os 3.9381 -6.5608 1.5286
Os 3.0669 6.5608 4.5857

---

4
Lattice="3.5247 0.0000 0.0000 0.0000 3.5247 0.0000 0.0000 0.0000 7.9384" Properties=species:S:1:pos:R:3 comment="Pm2HgOs PBE-GGA optimized geometry" total_magnetization_mub_per_atom=0.000 dos_at_fermi_per_ev_cell=3.42 dft_energy_ry_per_atom=-0.405 spacegroup=P4/mmm vol_a3_per_fu=99 pbc="T T T"
Pm 0.0000 0.0000 1.7206
Pm 0.0000 0.0000 6.2178
Hg 1.7624 1.7624 3.9692
Os 1.7624 1.7624 0.0000

---

4
Lattice="0.0000 3.6380 3.6380 3.6380 0.0000 3.6380 3.6380 3.6380 0.0000" Properties=species:S:1:pos:R:3 comment="Pm2HgOs PBE-GGA optimized geometry" total_magnetization_mub_per_atom=0.000 dos_at_fermi_per_ev_cell=2.68 dft_energy_ry_per_atom=-0.398 spacegroup=Fm-3m vol_a3_per_fu=96 pbc="T T T"
Pm 1.8190 1.8190 1.8190
Pm 5.4570 5.4570 5.4570
Hg 0.0000 0.0000 0.0000
Os 3.6380 3.6380 3.6380

---

24
Lattice="0.0000 6.9583 6.9583 6.9583 0.0000 6.9583 6.9583 6.9583 0.0000" Properties=species:S:1:pos:R:3 comment="Pm4HgOs PBE-GGA optimized geometry" total_magnetization_mub_per_atom=0.000 dos_at_fermi_per_ev_cell=25.46 dft_energy_ry_per_atom=-0.393 spacegroup=F-43m vol_a3_per_fu=168 pbc="T T T"
Pm 6.9583 6.9583 2.6618
Pm 6.9583 2.6618 6.9583
Pm 11.2548 6.9583 6.9583
Pm 5.6073 5.6073 5.6073
Pm 8.3093 8.3093 5.6073
Pm 8.3093 5.6073 8.3093
Pm 10.4374 10.4374 7.7675
Pm 10.4374 7.7675 10.4374
Pm 13.1073 10.4374 10.4374
Pm 5.6073 8.3093 8.3093
Pm 2.6618 6.9583 6.9583
Pm 6.9583 11.2548 6.9583
Pm 6.9583 6.9583 11.2548
Pm 7.7675 10.4374 10.4374
Pm 10.4374 13.1073 10.4374
Pm 10.4374 10.4374 13.1073
Hg 2.3224 2.3224 2.3224
Hg 4.6359 4.6359 2.3224
Hg 4.6359 2.3224 4.6359
Hg 2.3224 4.6359 4.6359
Os 8.5148 5.4018 5.4018
Os 5.4018 8.5148 5.4018
Os 5.4018 5.4018 8.5148
Os 8.5148 8.5148 8.5148

---

9
Lattice="-2.6896 3.6167 7.3704 2.6896 -3.6167 7.3704 2.6896 3.6167 -7.3704" Properties=species:S:1:pos:R:3 comment="Pm6Hg2Os PBE-GGA optimized geometry" total_magnetization_mub_per_atom=0.000 dos_at_fermi_per_ev_cell=12.95 dft_energy_ry_per_atom=-0.337 spacegroup=Immm vol_a3_per_fu=287 pbc="T T T"
Pm 2.6896 1.7803 -2.2693
Pm 0.0000 1.6387 0.0000
Pm 2.6896 1.7803 2.2693
Pm 0.0000 1.8364 5.1012
Pm 0.0000 5.5947 0.0000
Pm 0.0000 1.8364 9.6397
Hg 2.6896 0.0000 4.9102
Hg 0.0000 3.6167 2.4602
Os 2.6896 0.0000 0.0000

---

18
Lattice="8.1765 -3.8282 0.0000 8.1765 3.8282 0.0000 0.0000 0.0000 7.8085" Properties=species:S:1:pos:R:3 comment="Pm5Hg2Os2 PBE-GGA optimized geometry" total_magnetization_mub_per_atom=0.000 dos_at_fermi_per_ev_cell=14.98 dft_energy_ry_per_atom=-0.403 spacegroup=Cmce vol_a3_per_fu=244 pbc="T T T"
Pm 0.0000 0.0000 0.0000
Pm 6.1672 2.4401 5.3195
Pm 6.1672 1.3880 1.4153
Pm 10.1858 2.4401 5.3195
Pm 10.1858 1.3880 1.4153
Pm 8.1765 0.0000 3.9043
Pm 6.1672 -1.3880 6.3932
Pm 6.1672 -2.4401 2.4890
Pm 10.1858 -1.3880 6.3932
Pm 10.1858 -2.4401 2.4890
Hg 3.5830 0.0000 0.0000
Hg 4.5935 0.0000 3.9043
Hg 11.7595 0.0000 3.9043
Hg 12.7700 0.0000 0.0000
Os 8.1765 2.9654 2.9941
Os 8.1765 0.8628 6.8983
Os 8.1765 -0.8628 0.9102
Os 8.1765 -2.9654 4.8144

---

18
Lattice="-4.8290 4.9163 5.2983 4.8290 -4.9163 5.2983 4.8290 4.9163 -5.2983" Properties=species:S:1:pos:R:3 comment="Pm6HgOs2 PBE-GGA optimized geometry" total_magnetization_mub_per_atom=0.000 dos_at_fermi_per_ev_cell=16.12 dft_energy_ry_per_atom=-0.434 spacegroup=Immm vol_a3_per_fu=252 pbc="T T T"
Pm 4.8290 2.9033 -2.7563
Pm 2.6927 1.8107 0.0000
Pm 6.9653 1.8107 0.0000
Pm 1.8130 4.9163 -1.8160
Pm 3.0160 0.0000 3.4823
Pm 0.0000 2.0130 2.5420
Pm 4.8290 2.9033 2.7563
Pm 1.8130 4.9163 1.8160
Pm 3.0160 0.0000 7.1142
Pm -2.1363 3.1056 5.2983
Pm 2.1363 3.1056 5.2983
Pm 0.0000 2.0130 8.0545
Hg 0.0000 0.0000 0.0000
Hg 0.0000 0.0000 5.2983
Os 4.8290 0.0000 1.2406
Os 0.0000 3.2649 0.0000
Os 0.0000 6.5677 0.0000
Os 0.0000 4.9163 4.0577

---

7
Lattice="-2.7360 2.7360 7.6704 2.7360 -2.7360 7.6704 2.7360 2.7360 -7.6704" Properties=species:S:1:pos:R:3 comment="Pm4Hg2Os PBE-GGA optimized geometry" total_magnetization_mub_per_atom=0.000 dos_at_fermi_per_ev_cell=9.83 dft_energy_ry_per_atom=-0.331 spacegroup=I4/mmm vol_a3_per_fu=230 pbc="T T T"
Pm 2.7360 0.0000 0.0000
Pm 0.0000 0.0000 2.7762
Pm 0.0000 2.7360 0.0000
Pm 0.0000 0.0000 12.5647
Hg 0.0000 0.0000 5.8503
Hg 0.0000 0.0000 9.4906
Os 0.0000 0.0000 0.0000

---

4
Lattice="0.0000 3.5979 3.5979 3.5979 0.0000 3.5979 3.5979 3.5979 0.0000" Properties=species:S:1:pos:R:3 comment="PmPuHgOs PBE-GGA optimized geometry" total_magnetization_mub_per_atom=1.328 dos_at_fermi_per_ev_cell=10.74 dft_energy_ry_per_atom=-0.562 spacegroup=F-43m vol_a3_per_fu=93 pbc="T T T"
Pm 0.0000 0.0000 0.0000
Pu 3.5979 3.5979 3.5979
Hg 5.3968 5.3968 5.3968
Os 1.7989 1.7989 1.7989